VASP calculation (GGA-PBE) on crystalline BTe2Mo at its relaxed geometry.

* final energy: -5.18 eV/atom
* mass density: 6.63 g cm⁻³
* total magnetization: 0.2511 μB/atom
* uncorrected formation energy: 0.772 eV/atom
* volume: 362.4 Å³ per cell

Cell: 5.9761 5.9761 10.1486 Å, 90.00 90.00 90.00°
Space group I-42d (No. 122)
Asymmetric unit:
B1 0.0000 0.0000 0.0000 (multiplicity 4)
Te1 0.1992 0.2500 0.1250 (multiplicity 8)
Mo1 0.0000 0.0000 0.5000 (multiplicity 4)

VASP calculation (GGA-PBE) on crystalline K3CdO at its relaxed geometry.

* final energy: -2.38 eV/atom
* mass density: 2.48 g cm⁻³
* total magnetization: 0.0000 μB/atom
* uncorrected formation energy: -0.552 eV/atom
* ΔE to the lowest computed polymorph: 54 meV per atom
* volume: 164.4 Å³ per cell

Cell: 5.4779 5.4779 5.4779 Å, 90.00 90.00 90.00°
Space group Pm-3m (No. 221)
Asymmetric unit:
K1 0.0000 0.0000 0.5000 (multiplicity 3)
Cd1 0.5000 0.5000 0.5000 (multiplicity 1)
O1 0.0000 0.0000 0.0000 (multiplicity 1)

VASP calculation (GGA-PBE) on crystalline ThIn2Ag2 at its relaxed geometry.

* final energy: -3.83 eV/atom
* mass density: 9.21 g cm⁻³
* total magnetization: 0.0000 μB/atom
* volume: 244.2 Å³ per cell
* formation enthalpy at 0 K: -0.55 eV per formula unit

Cell: 5.8951 6.4465 7.5291 Å, 76.90 71.91 64.59°
Space group P-1 (No. 2)
Asymmetric unit:
Th1 0.1666 0.1907 0.2199 (multiplicity 2)
In1 0.0627 0.2612 0.6798 (multiplicity 2)
In2 0.4425 0.3907 0.7840 (multiplicity 2)
Ag1 0.2546 0.8168 0.9549 (multiplicity 2)
Ag2 0.3978 0.8163 0.5540 (multiplicity 2)

VASP calculation (GGA-PBE) on crystalline HfNb3Os at its relaxed geometry.

* final energy: -9.36 eV/atom
* mass density: 9.39 g cm⁻³
* total magnetization: 0.0000 μB/atom
* ΔE to the lowest computed polymorph: 908 meV per atom
* volume: 114.5 Å³ per cell
* formation enthalpy at 0 K: 4.61 eV per formula unit

Cell: 4.8566 4.8566 4.8566 Å, 90.00 90.00 90.00°
Space group Pm-3m (No. 221)
Asymmetric unit:
Hf1 0.0000 0.0000 0.0000 (multiplicity 1)
Nb1 0.0000 0.5000 0.5000 (multiplicity 3)
Os1 0.5000 0.5000 0.5000 (multiplicity 1)

VASP calculation (GGA-PBE) on crystalline ZrTl2InS5 at its relaxed geometry.

* final energy: -4.80 eV/atom
* mass density: 5.58 g cm⁻³
* total magnetization: 0.0000 μB/atom
* uncorrected formation energy: -0.726 eV/atom
* volume: 921.9 Å³ per cell

Cell: 3.8338 18.0110 13.3506 Å, 90.00 90.00 90.00°
Space group Cmc2_1 (No. 36)
Asymmetric unit:
Zr1 0.0000 0.2116 0.0000 (multiplicity 4)
Tl1 0.0000 0.1100 0.6349 (multiplicity 4)
Tl2 0.0000 0.1293 0.2938 (multiplicity 4)
In1 0.0000 0.4470 0.4015 (multiplicity 4)
S1 0.0000 0.0553 0.0190 (multiplicity 4)
S2 0.0000 0.2866 0.6282 (multiplicity 4)
S3 0.0000 0.3082 0.3651 (multiplicity 4)
S4 0.0000 0.3464 0.9647 (multiplicity 4)
S5 0.0000 0.4852 0.7446 (multiplicity 4)

VASP calculation (GGA-PBE) on crystalline LaY2Mg at its relaxed geometry.

* final energy: -4.80 eV/atom
* mass density: 4.58 g cm⁻³
* total magnetization: 0.0115 μB/atom
* volume: 123.5 Å³ per cell
* formation enthalpy at 0 K: 0.27 eV per formula unit

Cell: 5.6978 5.6978 3.8050 Å, 90.00 90.00 90.00°
Space group P4/mmm (No. 123)
Asymmetric unit:
La1 0.0000 0.0000 0.0000 (multiplicity 1)
Y1 0.0000 0.5000 0.5000 (multiplicity 2)
Mg1 0.5000 0.5000 0.0000 (multiplicity 1)